Entry 1:
This record from Alexandria describes Sc2NiAs at its PBEsol-relaxed geometry. The functional is SCAN.

Output
Calculated formation energy   -0.675 eV/atom

a b c (Å): 3.745 3.745 5.328
angles (deg): 90.00 90.00 90.00
Element x y z (fractional)
Ni (0.500, 0.500, 0.860)
Sc (0.500, 0.500, 0.335)
Sc (0.000, 0.000, 0.902)
As (0.000, 0.000, 0.404)

=====

Entry 2:
This record from Alexandria describes Sc2NiAs at its PBEsol-relaxed geometry. The functional is SCAN.

Output
Calculated formation energy   -1.007 eV/atom

a b c (Å): 3.657 3.819 5.260
angles (deg): 90.00 110.34 90.00
Element x y z (fractional)
Ni (0.543, 0.500, 0.085)
Sc (0.271, 0.500, 0.542)
Sc (0.984, 0.000, 0.969)
As (0.700, 0.000, 0.401)

=====

Entry 3:
This record from Alexandria describes ScNi2As at its PBEsol-relaxed geometry. The functional is SCAN.

Output
Calculated formation energy   -0.528 eV/atom

a b c (Å): 3.981 3.980 4.370
angles (deg): 117.09 117.10 90.00
Element x y z (fractional)
Sc (0.500, 0.000, 0.000)
Ni (0.750, 0.750, 0.500)
Ni (0.250, 0.250, 0.500)
As (0.000, 0.500, 0.000)

=====

Entry 4:
This record from Alexandria describes ScNi2As at its PBEsol-relaxed geometry. The functional is SCAN.

Output
Calculated formation energy   -0.359 eV/atom

a b c (Å): 4.252 4.252 4.252
angles (deg): 60.00 60.00 60.00
Element x y z (fractional)
Ni (0.750, 0.750, 0.750)
Ni (0.000, 0.000, 0.000)
As (0.500, 0.500, 0.500)
Sc (0.250, 0.250, 0.250)

=====

Entry 5:
This record from Alexandria describes ScNiTeAs2 at its PBEsol-relaxed geometry. The functional is SCAN.

Output
Formation energy (no corrections)   1.171 eV per atom

a b c (Å): 5.190 5.201 5.201
angles (deg): 90.00 90.00 90.00
Element x y z (fractional)
Te (0.000, 0.000, 0.000)
As (0.000, 0.500, 0.000)
As (0.000, 0.000, 0.500)
Sc (0.500, 0.000, 0.000)
Ni (0.500, 0.500, 0.500)

=====

Entry 6:
This record from Alexandria describes Ni2AsSe at its PBEsol-relaxed geometry. The functional is SCAN.

Output
Formation energy (no corrections)   0.125 eV per atom

a b c (Å): 4.245 4.249 4.247
angles (deg): 119.99 90.00 119.97
Element x y z (fractional)
As (0.000, 0.000, 0.500)
Ni (0.750, 0.500, 0.750)
Ni (0.250, 0.500, 0.250)
Se (0.500, 0.000, 0.000)

=====

Entry 7:
This record from Alexandria describes Ni2AsSe at its PBEsol-relaxed geometry. The functional is SCAN.

Output
Formation energy (no corrections)   0.555 eV per atom

a b c (Å): 4.305 4.305 4.305
angles (deg): 60.00 60.00 60.00
Element x y z (fractional)
Se (0.250, 0.250, 0.250)
Ni (0.750, 0.750, 0.750)
Ni (0.000, 0.000, 0.000)
As (0.500, 0.500, 0.500)

=====

Entry 8:
This record from Alexandria describes Ni2AsSe at its PBEsol-relaxed geometry. The functional is SCAN.

Output
Formation energy (no corrections)   -0.129 eV per atom

a b c (Å): 3.171 3.931 5.924
angles (deg): 110.66 90.00 113.78
Element x y z (fractional)
Ni (0.237, 0.474, 0.773)
Ni (0.017, 0.034, 0.988)
As (0.771, 0.542, 0.138)
Se (0.475, 0.951, 0.601)

=====

Entry 9:
This record from Alexandria describes ZnNiAs2Se at its PBEsol-relaxed geometry. The functional is SCAN.

Output
Formation energy (no corrections)   1.163 eV per atom

a b c (Å): 4.544 4.932 4.932
angles (deg): 90.00 90.00 90.00
Element x y z (fractional)
Ni (0.500, 0.500, 0.500)
Zn (0.500, 0.000, 0.000)
Se (0.000, 0.000, 0.000)
As (0.000, 0.000, 0.500)
As (0.000, 0.500, 0.000)

=====

Entry 10:
This record from Alexandria describes Si2NiAs at its PBEsol-relaxed geometry. The functional is SCAN.

Output
Formation energy (no corrections)   0.416 eV per atom

a b c (Å): 3.950 3.950 4.519
angles (deg): 115.92 115.92 90.00
Element x y z (fractional)
Si (0.250, 0.750, 0.500)
Si (0.750, 0.250, 0.500)
As (0.500, 0.500, 0.000)
Ni (0.000, 0.000, 0.000)

=====

Entry 11:
This record from Alexandria describes Si2NiAs at its PBEsol-relaxed geometry. The functional is SCAN.

Output
Formation energy (no corrections)   0.464 eV per atom

a b c (Å): 4.295 4.295 4.295
angles (deg): 60.00 60.00 60.00
Element x y z (fractional)
As (0.500, 0.500, 0.500)
Si (0.000, 0.000, 0.000)
Si (0.750, 0.750, 0.750)
Ni (0.250, 0.250, 0.250)

=====

Entry 12:
This record from Alexandria describes Si2NiAs at its PBEsol-relaxed geometry. The functional is SCAN.

Output
Formation energy (no corrections)   0.406 eV per atom

a b c (Å): 3.140 4.318 4.318
angles (deg): 107.54 90.00 90.00
Element x y z (fractional)
Si (0.000, 0.000, 0.500)
Si (0.000, 0.500, 0.000)
Ni (0.500, 0.500, 0.500)
As (0.500, 0.000, 0.000)

=====

Entry 13:
This record from Alexandria describes SiNiAs2 at its PBEsol-relaxed geometry. The functional is SCAN.

Output
Formation energy (no corrections)   0.025 eV per atom

a b c (Å): 3.433 3.481 5.959
angles (deg): 106.98 106.74 90.00
Element x y z (fractional)
Ni (0.500, 0.000, 0.000)
As (0.838, 0.838, 0.676)
As (0.162, 0.162, 0.324)
Si (0.000, 0.500, 0.000)

=====

Entry 14:
This record from Alexandria describes Si2NiAs at its PBEsol-relaxed geometry. The functional is SCAN.

Output
Formation energy (no corrections)   0.423 eV per atom

a b c (Å): 3.532 3.532 4.540
angles (deg): 90.00 90.00 90.00
Element x y z (fractional)
Ni (0.000, 0.000, 0.500)
Si (0.500, 0.000, 0.000)
Si (0.000, 0.500, 0.000)
As (0.500, 0.500, 0.500)

=====

Entry 15:
This record from Alexandria describes SrNi2As at its PBEsol-relaxed geometry. The functional is SCAN.

Output
Calculated formation energy   0.387 eV/atom

a b c (Å): 3.034 5.187 5.187
angles (deg): 109.95 106.00 106.00
Element x y z (fractional)
Ni (0.000, 0.500, 0.000)
Ni (0.000, 0.000, 0.500)
As (0.500, 0.500, 0.500)
Sr (0.500, 0.000, 0.000)

=====

Entry 16:
This record from Alexandria describes Sr2NiAs at its PBEsol-relaxed geometry. The functional is SCAN.

Output
Calculated formation energy   -0.515 eV/atom

a b c (Å): 4.133 4.254 7.820
angles (deg): 105.78 105.32 90.00
Element x y z (fractional)
As (0.589, 0.589, 0.179)
Sr (0.010, 0.010, 0.021)
Sr (0.743, 0.243, 0.487)
Ni (0.157, 0.657, 0.314)

=====

Entry 17:
This record from Alexandria describes Sr2NiAs at its PBEsol-relaxed geometry. The functional is SCAN.

Output
Calculated formation energy   -0.281 eV/atom

a b c (Å): 4.356 4.358 6.162
angles (deg): 90.00 90.00 90.00
Element x y z (fractional)
Sr (0.500, 0.500, 0.375)
Sr (0.000, 0.000, 0.875)
Ni (0.500, 0.500, 0.875)
As (0.000, 0.000, 0.375)

=====

Entry 18:
This record from Alexandria describes Sr2NiAs at its PBEsol-relaxed geometry. The functional is SCAN.

Output
Calculated formation energy   0.025 eV/atom

a b c (Å): 5.030 5.030 5.030
angles (deg): 60.00 60.00 60.00
Element x y z (fractional)
Ni (0.250, 0.250, 0.250)
Sr (0.000, 0.000, 0.000)
Sr (0.750, 0.750, 0.750)
As (0.500, 0.500, 0.500)

=====

Entry 19:
This record from Alexandria describes SrNiAs at its PBEsol-relaxed geometry. The functional is SCAN.

Output
Calculated formation energy   -0.836 eV/atom

a b c (Å): 4.038 4.038 4.455
angles (deg): 90.00 90.00 120.00
Element x y z (fractional)
As (0.000, 0.000, 0.000)
Sr (0.667, 0.333, 0.500)
Ni (0.333, 0.667, 0.000)

=====

Entry 20:
This record from Alexandria describes TaNi2As at its PBEsol-relaxed geometry. The functional is SCAN.

Output
Calculated formation energy   -0.129 eV/atom

a b c (Å): 2.817 3.306 5.697
angles (deg): 90.00 90.00 90.00
Element x y z (fractional)
As (0.500, 0.500, 0.797)
Ta (0.000, 0.000, 0.475)
Ni (0.500, 0.500, 0.226)
Ni (0.000, 0.000, 0.002)

=====

no.,final energy (eV/cell)
1,-67.537
2,-68.867
3,-68.887
4,-68.208
5,-102.187
6,-72.115
7,-70.397
8,-73.132
9,-84.333
10,-54.733
11,-54.540
12,-54.772
13,-66.469
14,-54.702
15,-73.265
16,-82.974
17,-82.039
18,-80.814
19,-61.147
20,-119.636